[1]
AcZnGe2Rh: optimized geometry, PBE.

Unit cell a=4.336 b=4.336 c=6.223 alpha=110.39 beta=110.39 gamma=90.00
Atoms (fractional coordinates):
Ge 0.625 0.625 0.249
Zn 0.250 0.750 0.500
Rh 0.750 0.250 0.500
Ac 0.000 0.000 0.000
Ge 0.375 0.375 0.751

Results
Space group ... No. 119
Energy relative to the elements ... -622.5 meV per atom

[2]
RePd2Ru: optimized geometry, PBE.

Unit cell a=5.657 b=5.657 c=6.769 alpha=65.30 beta=65.30 gamma=90.00
Atoms (fractional coordinates):
Pd 0.375 0.373 0.750
Pd 0.627 0.125 0.250
Pd 0.875 0.877 0.750
Ru 0.250 0.750 0.500
Ru 0.500 0.500 0.000
Pd 0.123 0.625 0.250
Re 0.000 0.000 0.000
Re 0.750 0.250 0.500

Results
Energy above the most stable polymorph in this dataset ... 1.090 eV/atom
Space group ... No. 122
Energy relative to the elements ... 1643.2 meV per atom

[3]
HfTeMo2N: optimized geometry, PBE.

Unit cell a=4.846 b=5.293 c=4.846 alpha=90.00 beta=90.00 gamma=90.00
Atoms (fractional coordinates):
N 0.500 0.500 0.500
Hf 0.000 0.000 0.000
Mo 0.500 0.000 0.000
Mo 0.000 0.000 0.500
Te 0.000 0.500 0.000

Results
Space group ... No. 123
E_form (uncorrected) ... 2.8001 eV/atom

[4]
Ho6RhSe3S2: optimized geometry, PBE.

Unit cell a=3.941 b=8.134 c=9.037 alpha=103.51 beta=102.59 gamma=90.00
Atoms (fractional coordinates):
S 0.831 0.663 0.662
Ho 0.662 0.092 0.324
Ho 0.338 0.908 0.676
Ho 0.670 0.572 0.340
Ho 0.330 0.428 0.660
Se 0.500 0.500 0.000
Ho 0.003 0.232 0.006
S 0.169 0.337 0.338
Se 0.830 0.170 0.660
Ho 0.997 0.768 0.994
Se 0.170 0.830 0.340
Rh 0.500 0.000 0.000

Results
Space group ... No. 12
E_form (uncorrected) ... -1.6682 eV/atom

[5]
AcPtS2O8: optimized geometry, PBE.

Unit cell a=5.268 b=5.268 c=7.885 alpha=90.00 beta=90.00 gamma=120.00
Last column: magnetic moment on the atom in μB.
Atoms (fractional coordinates):
Pt 0.000 0.000 0.000  0.86
S 0.667 0.333 0.294  0.01
Ac 0.000 0.000 0.500  0.00
O 0.178 0.822 0.763  0.01
O 0.822 0.178 0.237  0.01
O 0.178 0.356 0.763  0.01
O 0.667 0.333 0.486  0.01
O 0.644 0.822 0.763  0.01
S 0.333 0.667 0.706  0.01
O 0.356 0.178 0.237  0.01
O 0.333 0.667 0.514  0.01
O 0.822 0.644 0.237  0.01

Results
Space group ... No. 164
E_form (uncorrected) ... -1.4765 eV/atom

[6]
GaTcMo2H: optimized geometry, PBE.

Unit cell a=3.973 b=3.973 c=4.013 alpha=90.00 beta=90.00 gamma=90.00
Atoms (fractional coordinates):
H 0.000 0.000 0.000
Mo 0.000 0.500 0.000
Tc 0.000 0.000 0.500
Mo 0.500 0.000 0.000
Ga 0.500 0.500 0.500

Results
E ... -7.5849 eV/atom
Space group ... No. 123

[7]
AcGd2H: optimized geometry, PBE.

Unit cell a=3.756 b=3.756 c=9.103 alpha=78.09 beta=78.09 gamma=60.00
Last column: magnetic moment on the atom in μB.
Atoms (fractional coordinates):
H 0.000 0.000 0.000  -0.01
Gd 0.718 0.718 0.846  7.05
Ac 0.500 0.500 0.500  -0.04
Gd 0.282 0.282 0.154  7.05

Results
E ... -9.0570 eV/atom
Space group ... No. 166

[8]
LiTlCl4: optimized geometry, PBE.

Unit cell a=3.941 b=6.489 c=12.682 alpha=90.77 beta=90.00 gamma=90.00
Atoms (fractional coordinates):
Cl 0.500 0.828 0.118
Cl 0.500 0.829 0.608
Li 0.000 0.000 0.500
Cl 0.000 0.671 0.892
Cl 0.500 0.171 0.392
Cl 0.000 0.672 0.382
Li 0.500 0.500 0.000
Cl 0.000 0.328 0.618
Cl 0.500 0.172 0.882
Cl 0.000 0.329 0.108
Tl 0.000 0.000 0.000
Tl 0.500 0.500 0.500

Results
Energy above the most stable polymorph in this dataset ... 0.000 eV/atom
Space group ... No. 12
E_form (uncorrected) ... -1.0441 eV/atom